(1)
Entry from the Alexandria database: an optimized crystal structure of ZrAl8 (PBE).

Calculated values
The space group is I4/mmm, No. 139.

Cell: 6.4976 6.4976 6.4976 Å, 95.57 95.57 143.69°
Closest atoms and distances in Å follow each position.
Sites, in units of the cell vectors:
Zr 0.0000 0.0000 0.0000  12 Al 2.91-2.94
Al 0.0000 0.3364 0.3364  11 Al 2.86-2.90, 1 Zr 2.94
Al 0.6693 0.3307 0.0000  10 Al 2.84-2.96, 2 Zr 2.91
Al 0.3364 0.0000 0.3364  11 Al 2.86-2.90, 1 Zr 2.94
Al 0.0000 0.6636 0.6636  11 Al 2.86-2.90, 1 Zr 2.94
Al 0.3307 0.3307 0.6615  10 Al 2.84-2.96, 2 Zr 2.91
Al 0.6693 0.6693 0.3385  10 Al 2.84-2.96, 2 Zr 2.91
Al 0.6636 0.0000 0.6636  11 Al 2.86-2.90, 1 Zr 2.94
Al 0.3307 0.6693 0.0000  10 Al 2.84-2.96, 2 Zr 2.91

***

(2)
Entry from the Alexandria database: an optimized crystal structure of Zr2Al (PBE).

Calculated values
The space group is I4/mcm, No. 140.

Cell: 5.5438 5.5438 5.5438 Å, 103.57 103.57 122.06°
Closest atoms and distances in Å follow each position.
Sites, in units of the cell vectors:
Al 0.7500 0.7500 0.0000  2 Al 2.69, 8 Zr 2.93
Al 0.2500 0.2500 0.0000  2 Al 2.69, 8 Zr 2.93
Zr 0.1516 0.3484 0.5000  4 Al 2.93, 1 Zr 2.94
Zr 0.8484 0.6516 0.5000  4 Al 2.93, 1 Zr 2.94
Zr 0.6516 0.1516 0.8032  4 Al 2.93, 1 Zr 2.94
Zr 0.3484 0.8484 0.1968  4 Al 2.93, 1 Zr 2.94

***

(3)
Entry from the Alexandria database: an optimized crystal structure of ZrAl2 (PBE).

Calculated values
The space group is C2/m, No. 12.

Cell: 5.4957 5.4957 6.5472 Å, 73.17 73.17 36.22°
Closest atoms and distances in Å follow each position.
Sites, in units of the cell vectors:
Zr 0.6541 0.6541 0.4169  7 Al 2.93-3.18, 3 Zr 3.07
Zr 0.3459 0.3459 0.5831  7 Al 2.93-3.18, 3 Zr 3.07
Al 0.3228 0.3228 0.0783  6 Al 2.69-2.84, 2 Zr 2.93
Al 0.0073 0.0073 0.7859  5 Al 2.76-2.84, 4 Zr 2.98
Al 0.9927 0.9927 0.2141  5 Al 2.76-2.84, 4 Zr 2.98
Al 0.6772 0.6772 0.9217  6 Al 2.69-2.84, 2 Zr 2.93

***

(4)
Entry from the Alexandria database: an optimized crystal structure of Zr2Al (PBE).

Calculated values
The space group is P6_3/mmc, No. 194.

Cell: 4.9035 4.9035 5.9424 Å, 90.00 90.00 120.00°
Closest atoms and distances in Å follow each position.
Sites, in units of the cell vectors:
Zr 0.6667 0.3333 0.2500  5 Al 2.83-2.97
Zr 0.0000 0.0000 0.5000  8 Zr 2.97-3.20, 6 Al 3.20
Zr 0.0000 0.0000 0.0000  8 Zr 2.97-3.20, 6 Al 3.20
Al 0.6667 0.3333 0.7500  5 Zr 2.83-2.97
Zr 0.3333 0.6667 0.7500  5 Al 2.83-2.97
Al 0.3333 0.6667 0.2500  5 Zr 2.83-2.97

***

(5)
Entry from the Alexandria database: an optimized crystal structure of ZrAl3 (PBE).

Calculated values
The space group is Cmmm, No. 65.

Cell: 5.1336 5.1336 2.9956 Å, 90.00 90.00 113.10°
Closest atoms and distances in Å follow each position.
Sites, in units of the cell vectors:
Zr 0.0000 0.0000 0.0000  10 Al 2.83-2.97, 2 Zr 3.00
Al 0.0000 0.5000 0.5000  8 Al 2.83-3.00, 4 Zr 2.97
Al 0.5000 0.5000 0.0000  2 Zr 2.83, 10 Al 2.97-3.00
Al 0.5000 0.0000 0.5000  8 Al 2.83-3.00, 4 Zr 2.97

***

(6)
Entry from the Alexandria database: an optimized crystal structure of ZrAl2 (PBE).

Calculated values
The space group is I4/mcm, No. 140.

Cell: 5.6259 5.6259 5.6259 Å, 111.00 111.00 106.45°
Closest atoms and distances in Å follow each position.
Sites, in units of the cell vectors:
Al 0.7506 0.7494 0.5000  4 Zr 2.81
Al 0.7494 0.2494 0.9987  4 Zr 2.81
Zr 0.2500 0.2500 0.0000  8 Al 2.81
Al 0.2506 0.7506 0.0013  4 Zr 2.81
Zr 0.7500 0.7500 0.0000  8 Al 2.81
Al 0.2494 0.2506 0.5000  4 Zr 2.81

***

(7)
Entry from the Alexandria database: an optimized crystal structure of ZrAl3 (PBE).

Calculated values
The space group is Pm-3n, No. 223.

Cell: 5.2835 5.2835 5.2835 Å, 90.00 90.00 90.00°
Closest atoms and distances in Å follow each position.
Sites, in units of the cell vectors:
Al 0.5000 0.0000 0.7500  2 Al 2.64, 4 Zr 2.95
Al 0.2500 0.5000 0.0000  2 Al 2.64, 4 Zr 2.95
Al 0.0000 0.7500 0.5000  2 Al 2.64, 4 Zr 2.95
Al 0.5000 0.0000 0.2500  2 Al 2.64, 4 Zr 2.95
Al 0.0000 0.2500 0.5000  2 Al 2.64, 4 Zr 2.95
Zr 0.0000 0.0000 0.0000  12 Al 2.95
Zr 0.5000 0.5000 0.5000  12 Al 2.95
Al 0.7500 0.5000 0.0000  2 Al 2.64, 4 Zr 2.95

***

(8)
Entry from the Alexandria database: an optimized crystal structure of Zr2Al (PBE).

Calculated values
The space group is Imma, No. 74.

Cell: 10.6248 10.6248 10.6248 Å, 163.31 157.11 28.46°
Closest atoms and distances in Å follow each position.
Sites, in units of the cell vectors:
Zr 0.2985 0.0485 0.2500  5 Zr 2.85-3.08, 4 Al 2.91
Zr 0.7015 0.9515 0.7500  5 Zr 2.85-3.08, 4 Al 2.91
Al 0.1388 0.3888 0.7500  8 Zr 2.91-3.04, 2 Al 3.08
Al 0.8612 0.6112 0.2500  8 Zr 2.91-3.04, 2 Al 3.08
Zr 0.5633 0.8133 0.7500  5 Zr 2.85-3.08, 4 Al 3.04
Zr 0.4367 0.1867 0.2500  5 Zr 2.85-3.08, 4 Al 3.04

***

(9)
Entry from the Alexandria database: an optimized crystal structure of Zr2Al (PBE).

Calculated values
The space group is R-3m, No. 166.

Cell: 4.6367 4.6416 4.6408 Å, 120.01 120.10 90.00°
Closest atoms and distances in Å follow each position.
Sites, in units of the cell vectors:
Zr 0.2494 0.7499 0.4997  4 Al 2.84
Zr 0.7506 0.2501 0.5003  4 Al 2.84
Al 0.0000 0.0000 0.0000  8 Zr 2.84

***

(10)
Entry from the Alexandria database: an optimized crystal structure of ZrAl2 (PBE).

Calculated values
The space group is P6_3/mmc, No. 194.

Cell: 4.7754 4.7754 5.5730 Å, 90.00 90.00 120.00°
Closest atoms and distances in Å follow each position.
Sites, in units of the cell vectors:
Al 0.6667 0.3333 0.7500  5 Zr 2.76-2.79
Al 0.0000 0.0000 0.0000  8 Al 2.79-3.09, 6 Zr 3.09
Al 0.3333 0.6667 0.2500  5 Zr 2.76-2.79
Zr 0.6667 0.3333 0.2500  5 Al 2.76-2.79
Al 0.0000 0.0000 0.5000  8 Al 2.79-3.09, 6 Zr 3.09
Zr 0.3333 0.6667 0.7500  5 Al 2.76-2.79

***

(11)
Entry from the Alexandria database: an optimized crystal structure of Zr4Al3 (PBE).

Calculated values
The space group is P6/mmm, No. 191.

Cell: 5.4472 5.4472 5.4004 Å, 90.00 90.00 120.00°
Closest atoms and distances in Å follow each position.
Sites, in units of the cell vectors:
Al 0.5000 0.0000 0.0000  4 Al 2.72
Zr 0.6667 0.3333 0.5000  6 Al 3.12, 9 Zr 3.14-3.40
Zr 0.0000 0.0000 0.7405  2 Zr 2.60-2.80
Zr 0.0000 0.0000 0.2595  2 Zr 2.60-2.80
Zr 0.3333 0.6667 0.5000  6 Al 3.12, 9 Zr 3.14-3.40
Al 0.0000 0.5000 0.0000  4 Al 2.72
Al 0.5000 0.5000 0.0000  4 Al 2.72

***

(12)
Entry from the Alexandria database: an optimized crystal structure of ZrAl2 (PBE).

Calculated values
The space group is Fm-3m, No. 225.

Cell: 4.5790 4.5790 4.5790 Å, 60.00 60.00 60.00°
Closest atoms and distances in Å follow each position.
Sites, in units of the cell vectors:
Zr 0.0000 0.0000 0.0000  8 Al 2.80
Al 0.7500 0.7500 0.7500  4 Zr 2.80
Al 0.2500 0.2500 0.2500  4 Zr 2.80

***

Number 1: M_tot 0.00 μB per cell, volume 17.2 Å³/atom, raw total energy -4.3790 eV/atom. Number 2: M_tot 0.00 μB per cell, volume 21.1 Å³/atom, raw total energy -7.2670 eV/atom. Number 3: M_tot 0.00 μB per cell, volume 18.6 Å³/atom, raw total energy -5.5961 eV/atom. Number 4: M_tot 0.00 μB per cell, volume 20.6 Å³/atom, raw total energy -7.3097 eV/atom. Number 5: M_tot 0.00 μB per cell, volume 18.2 Å³/atom, raw total energy -5.2314 eV/atom. Number 6: M_tot 0.00 μB per cell, volume 22.8 Å³/atom, raw total energy -5.3210 eV/atom. Number 7: M_tot 0.00 μB per cell, volume 18.4 Å³/atom, raw total energy -5.1173 eV/atom. Number 8: M_tot 0.00 μB per cell, volume 22.3 Å³/atom, raw total energy -6.8978 eV/atom. Number 9: M_tot 0.00 μB per cell, volume 23.5 Å³/atom, raw total energy -6.8601 eV/atom. Number 10: M_tot 0.00 μB per cell, volume 18.3 Å³/atom, raw total energy -5.5405 eV/atom. Number 11: M_tot 0.00 μB per cell, volume 19.8 Å³/atom, raw total energy -6.9494 eV/atom. Number 12: M_tot 0.00 μB per cell, volume 22.6 Å³/atom, raw total energy -5.0992 eV/atom.